# 1
SmPaC2 (PBE, relaxed); electronic total energy = -8.480 eV per atom; M_tot = 0.00 μB per cell; energy relative to the elements = -1.3 eV/f.u.; space-group type = R-3m
1.0
1.833 1.058 5.949
-1.833 1.058 5.949
0.000 -2.117 5.949
Sm Pa C
1 1 2
Direct
0.000 0.000 0.000 Sm
0.500 0.500 0.500 Pa
0.240 0.240 0.240 C
0.760 0.760 0.760 C



# 2
SmPa3C4 (PBE, relaxed); electronic total energy = -9.133 eV per atom; M_tot = 0.00 μB per cell; energy relative to the elements = -3.0 eV/f.u.; space-group type = Cmmm
1.0
3.620 -5.134 0.000
3.620 5.134 0.000
0.000 0.000 3.626
Sm Pa C
1 3 4
Direct
0.000 0.000 0.000 Sm
0.000 0.500 0.500 Pa
0.500 0.000 0.500 Pa
0.500 0.500 0.000 Pa
0.259 0.741 0.000 C
0.270 0.270 0.500 C
0.730 0.730 0.500 C
0.741 0.259 0.000 C



# 3
SmPa2TcC4 (PBE, relaxed); electronic total energy = -9.029 eV per atom; M_tot = 0.00 μB per cell; energy relative to the elements = -1.3 eV/f.u.; space-group type = Cmcm
1.0
1.811 -5.957 0.000
1.811 5.957 0.000
0.000 0.000 11.888
Sm Pa Tc C
2 4 2 8
Direct
0.120 0.880 0.750 Sm
0.880 0.120 0.250 Sm
0.368 0.632 0.543 Pa
0.368 0.632 0.957 Pa
0.632 0.368 0.043 Pa
0.632 0.368 0.457 Pa
0.145 0.855 0.250 Tc
0.855 0.145 0.750 Tc
0.000 0.000 0.000 C
0.000 0.000 0.500 C
0.261 0.739 0.126 C
0.261 0.739 0.374 C
0.430 0.570 0.750 C
0.570 0.430 0.250 C
0.739 0.261 0.626 C
0.739 0.261 0.874 C



# 4
SmPaTe2C (PBE, relaxed); electronic total energy = -6.882 eV per atom; M_tot = 0.00 μB per cell; space-group type = P4/nmm
1.0
4.158 0.000 0.000
0.000 4.158 0.000
0.000 0.000 16.177
Sm Pa Te C
2 2 4 2
Direct
0.250 0.250 0.138 Sm
0.750 0.750 0.862 Sm
0.250 0.250 0.567 Pa
0.750 0.750 0.433 Pa
0.250 0.250 0.322 Te
0.250 0.250 0.918 Te
0.750 0.750 0.082 Te
0.750 0.750 0.678 Te
0.250 0.750 0.500 C
0.750 0.250 0.500 C



# 5
PaSnC (PBE, relaxed); electronic total energy = -7.408 eV per atom; M_tot = 0.00 μB per cell; energy relative to the elements = 0.5 eV/f.u.; space-group type = P3m1
1.0
3.886 0.000 0.000
-1.943 3.365 0.000
0.000 0.000 5.156
Pa Sn C
1 1 1
Direct
0.000 0.000 0.000 Pa
0.333 0.667 0.500 Sn
0.667 0.333 0.005 C



# 6
Pa2SnC (PBE, relaxed); electronic total energy = -8.102 eV per atom; M_tot = 0.89 μB per cell; energy relative to the elements = -0.2 eV/f.u.; space-group type = P4/mmm
1.0
3.154 0.000 0.000
0.000 3.154 0.000
0.000 0.000 7.860
Pa Sn C
2 1 1
Direct
0.000 0.000 0.183 Pa
0.000 0.000 0.817 Pa
0.500 0.500 0.500 Sn
0.500 0.500 0.000 C



# 7
Pa2SnC (PBE, relaxed); electronic total energy = -8.461 eV per atom; M_tot = 0.00 μB per cell; energy relative to the elements = -1.6 eV/f.u.; space-group type = R-3m
1.0
1.689 0.975 8.515
-1.689 0.975 8.515
0.000 -1.951 8.515
Pa Sn C
2 1 1
Direct
0.225 0.225 0.225 Pa
0.775 0.775 0.775 Pa
0.000 0.000 0.000 Sn
0.500 0.500 0.500 C



# 8
Pa2SnC (PBE, relaxed); electronic total energy = -8.435 eV per atom; M_tot = 0.00 μB per cell; energy relative to the elements = -1.5 eV/f.u.; space-group type = R3m
1.0
1.691 0.976 8.533
-1.691 0.976 8.533
0.000 -1.952 8.533
Pa Sn C
2 1 1
Direct
0.000 0.000 0.000 Pa
0.216 0.216 0.216 Pa
0.442 0.442 0.442 Sn
0.607 0.607 0.607 C



# 9
PaSnC (PBE, relaxed); electronic total energy = -7.682 eV per atom; M_tot = 0.00 μB per cell; energy relative to the elements = -0.3 eV/f.u.; space-group type = P2_1/m
1.0
4.955 0.000 0.000
0.000 3.638 0.000
-0.463 0.000 6.531
Pa Sn C
2 2 2
Direct
0.235 0.250 0.341 Pa
0.765 0.750 0.659 Pa
0.280 0.250 0.837 Sn
0.720 0.750 0.163 Sn
0.258 0.750 0.589 C
0.742 0.250 0.411 C



# 10
Pa4Sn2C (PBE, relaxed); electronic total energy = -8.093 eV per atom; M_tot = 0.00 μB per cell; energy relative to the elements = -1.4 eV/f.u.; space-group type = I4/mmm
1.0
-2.357 2.357 7.992
2.357 -2.357 7.992
2.357 2.357 -7.992
Pa Sn C
4 2 1
Direct
0.000 0.500 0.500 Pa
0.152 0.152 0.000 Pa
0.500 0.000 0.500 Pa
0.848 0.848 0.000 Pa
0.354 0.354 0.000 Sn
0.646 0.646 0.000 Sn
0.000 0.000 0.000 C



# 11
PaSnC (PBE, relaxed); electronic total energy = -7.844 eV per atom; M_tot = 0.00 μB per cell; energy relative to the elements = -0.8 eV/f.u.; space-group type = P4/nmm
1.0
4.047 0.000 0.000
0.000 4.047 0.000
0.000 0.000 8.009
Pa Sn C
2 2 2
Direct
0.250 0.250 0.137 Pa
0.750 0.750 0.863 Pa
0.250 0.250 0.582 Sn
0.750 0.750 0.418 Sn
0.250 0.750 0.000 C
0.750 0.250 0.000 C



# 12
PaSnC (PBE, relaxed); electronic total energy = -7.453 eV per atom; M_tot = 0.00 μB per cell; energy relative to the elements = 0.4 eV/f.u.; space-group type = I4mm
1.0
-1.628 1.628 6.037
1.628 -1.628 6.037
1.628 1.628 -6.037
Pa Sn C
1 1 1
Direct
0.000 0.000 0.000 Pa
0.274 0.274 0.000 Sn
0.547 0.547 0.000 C